[1]
Density functional theory data (PBE) for a geometry-optimized PmHo3Er6 structure.

## Properties
energy above the most stable polymorph in this dataset	0.139	eV per atom
final energy	-4.298	eV/atom
symmetry	R3 (146)
V	31.81	Å³/atom
formation enthalpy at 0 K	0.288	eV per atom

abc: 9.737 9.737 6.828
angles: 44.51 44.51 60.00
Element x y z (fractional)
Pm  0.897  0.897  0.309
Er  0.408  0.734  0.787
Er  0.236  0.907  0.288
Er  0.071  0.408  0.787
Er  0.734  0.071  0.787
Er  0.568  0.236  0.288
Er  0.907  0.568  0.288
Ho  0.639  0.639  0.082
Ho  0.395  0.395  0.815
Ho  0.144  0.144  0.569


[2]
Density functional theory data (PBE) for a geometry-optimized Bi2PtPb4 structure.

## Properties
final energy	-4.090	eV/atom
symmetry	P2/m (10)
V	31.71	Å³/atom
formation enthalpy at 0 K	0.001	eV per atom

abc: 4.100 6.305 9.015
angles: 107.72 90.00 90.00
Element x y z (fractional)
Pb  0.500  0.116  0.863
Pb  0.500  0.741  0.137
Pb  0.000  0.333  0.243
Pb  0.000  0.524  0.757
Bi  0.500  0.168  0.478
Bi  0.500  0.689  0.522
Pt  0.000  0.929  0.000


[3]
Density functional theory data (PBE) for a geometry-optimized KYCu2 structure.

## Properties
energy above the most stable polymorph in this dataset	0.311	eV per atom
final energy	-3.565	eV/atom
symmetry	Fm-3m (225)
V	23.31	Å³/atom
formation enthalpy at 0 K	0.373	eV per atom

abc: 5.090 5.090 5.090
angles: 60.00 60.00 60.00
Element x y z (fractional)
Y  0.500  0.500  0.500
Cu  0.750  0.750  0.750
Cu  0.250  0.250  0.250
K  0.000  0.000  0.000


final energy of number 2 (Bi2PtPb4)? -4.090 eV/atom